1.
## TaGaFeNi (PBE)

Data for a relaxed structure of TaGaFeNi.

The calculation puts the total energy at -0.2650 hartree per atom.

It has space group F-43m (No. 216), with a = 6.044 Å, b = 6.044 Å, c = 6.044 Å, α = 90.00°, β = 90.00° and γ = 90.00°. The distinct sites, in fractional coordinates, are Ta at (0.000, 0.000, 0.000), Ga at (0.250, 0.250, 0.250), Fe at (0.000, 0.000, 0.500) and Ni at (0.250, 0.250, 0.750).

***

2.
## TbGaFeNi (PBE)

Data for a relaxed structure of TbGaFeNi.

The calculation puts the total energy at -0.2133 hartree per atom.

It has space group Pmma (No. 51), with a = 4.915 Å, b = 4.002 Å, c = 6.753 Å, α = 90.00°, β = 90.00° and γ = 90.00°. The distinct sites, in fractional coordinates, are Tb at (0.250, 0.000, 0.196), Ga at (0.250, 0.500, 0.841), Fe at (0.000, 0.500, 0.500) and Ni at (0.250, 0.000, 0.621).